A plane-wave DFT calculation with GGA-PBE was carried out for a relaxed CaNiPb crystal.

a = 12.067 Å, b = 4.424 Å, c = 5.440 Å
α = 90.00°, β = 100.65°, γ = 90.00°
Space group C2/m (No. 12)
Unique sites:
Ca: 0.126 0.000 0.317 x4
Ni: 0.212 0.000 0.876 x4
Pb: 0.094 0.500 0.795 x4

=====

A plane-wave DFT calculation with GGA-PBE was carried out for a relaxed Ca2Ni2Pb crystal.

a = 5.551 Å, b = 5.551 Å, c = 7.557 Å
α = 90.00°, β = 90.00°, γ = 90.00°
Space group I4/mmm (No. 139)
Unique sites:
Ca: 0.000 0.500 0.250 x4
Ni: 0.000 0.000 0.154 x4
Pb: 0.000 0.000 0.500 x2

=====

A plane-wave DFT calculation with GGA-PBE was carried out for a relaxed Ca6Ni2Pb crystal.

a = 9.793 Å, b = 9.927 Å, c = 10.643 Å
α = 90.00°, β = 90.00°, γ = 90.00°
Space group Immm (No. 71)
Unique sites:
Ca: 0.000 0.207 0.235 x8
Ca: 0.195 0.500 0.176 x8
Ca: 0.210 0.316 0.500 x8
Ni: 0.000 0.380 0.000 x4
Ni: 0.000 0.500 0.389 x4
Pb: 0.000 0.000 0.000 x2
Pb: 0.000 0.000 0.500 x2

=====

A plane-wave DFT calculation with GGA-PBE was carried out for a relaxed Ca3Ni2Pb3 crystal.

a = 4.597 Å, b = 11.244 Å, c = 15.539 Å
α = 90.00°, β = 90.00°, γ = 90.00°
Space group Cmcm (No. 63)
Unique sites:
Ca: 0.000 0.073 0.111 x8
Ca: 0.000 0.358 0.250 x4
Ni: 0.000 0.213 0.605 x8
Pb: 0.000 0.344 0.750 x4
Pb: 0.000 0.361 0.039 x8

=====

A plane-wave DFT calculation with GGA-PBE was carried out for a relaxed CaNiPb crystal.

a = 4.687 Å, b = 4.506 Å, c = 6.846 Å
α = 90.00°, β = 92.92°, γ = 90.00°
Space group P2_1/m (No. 11)
Unique sites:
Ca: 0.249 0.250 0.196 x2
Ni: 0.307 0.750 0.499 x2
Pb: 0.221 0.250 0.699 x2

=====

A plane-wave DFT calculation with GGA-PBE was carried out for a relaxed CaPmNiPb crystal.

a = 7.424 Å, b = 7.424 Å, c = 7.424 Å
α = 90.00°, β = 90.00°, γ = 90.00°
Space group F-43m (No. 216)
Unique sites:
Ca: 0.000 0.000 0.000 x4
Pm: 0.000 0.000 0.500 x4
Ni: 0.250 0.250 0.250 x4
Pb: 0.250 0.250 0.750 x4

=====

A plane-wave DFT calculation with GGA-PBE was carried out for a relaxed CaNiRhPb crystal.

a = 6.677 Å, b = 6.677 Å, c = 6.677 Å
α = 90.00°, β = 90.00°, γ = 90.00°
Space group F-43m (No. 216)
Unique sites:
Ca: 0.000 0.000 0.000 x4
Ni: 0.250 0.250 0.250 x4
Rh: 0.250 0.250 0.750 x4
Pb: 0.000 0.000 0.500 x4

=====

A plane-wave DFT calculation with GGA-PBE was carried out for a relaxed CaNiSbPb2 crystal.

## Properties
**E_form (uncorrected)**: -14.5 kJ per mole of atoms

a = 5.087 Å, b = 5.087 Å, c = 5.362 Å
α = 90.00°, β = 90.00°, γ = 90.00°
Space group P4/mmm (No. 123)
Unique sites:
Ca: 0.000 0.000 0.000 x1
Ni: 0.000 0.000 0.500 x1
Sb: 0.500 0.500 0.000 x1
Pb: 0.000 0.500 0.500 x2

=====

no.,E_tot (eV per atom)
1,-4.13
2,-3.90
3,-3.27
4,-3.93
5,-4.10
6,-4.31
7,-4.85
8,-4.02